1.
# CaBeAg

CaBeAg after structural relaxation (PBE-GGA, Alexandria via LeMat-Bulk).

Output
* electronic total energy: -2.8206 eV per atom
* energy above the lowest structure with this stoichiometry: 0.000 eV/atom
* crystal system: hexagonal
* energy of formation: 0.039 eV/atom
* ρ: 4.14 g cm⁻³

Cell: 4.2630 4.2630 3.9964 Å, 90.00 90.00 120.00°
Fractional positions:
Ca 0.3333 0.6667 0.6667
Be 0.6667 0.3333 0.1662
Ag 0.0000 0.0000 0.1668



2.
# CaBe2Ag

CaBe2Ag after structural relaxation (PBE-GGA, Alexandria via LeMat-Bulk).

Output
* electronic total energy: -2.7401 eV per atom
* energy above the lowest structure with this stoichiometry: 0.273 eV/atom
* crystal system: orthorhombic
* energy of formation: 0.336 eV/atom
* ρ: 3.85 g cm⁻³

Cell: 4.7616 4.7616 4.7616 Å, 130.07 115.02 86.18°
Fractional positions:
Be 0.1668 0.6668 0.5000
Be 0.0424 0.0424 0.0000
Ag 0.8042 0.3042 0.5000
Ca 0.4866 0.4866 0.0000



3.
# CaBeAg2

CaBeAg2 after structural relaxation (PBE-GGA, Alexandria via LeMat-Bulk).

Output
* electronic total energy: -2.7878 eV per atom
* crystal system: tetragonal
* energy of formation: 0.070 eV/atom
* ρ: 5.89 g cm⁻³

Cell: 3.2555 3.2553 7.0398 Å, 90.00 90.00 90.00°
Fractional positions:
Ag 0.0000 0.0000 0.4423
Ag 0.0000 0.0000 0.0577
Be 0.5000 0.5000 0.2500
Ca 0.5000 0.5000 0.7500



4.
# CaBeAg2

CaBeAg2 after structural relaxation (PBE-GGA, Alexandria via LeMat-Bulk).

Output
* electronic total energy: -2.8463 eV per atom
* crystal system: monoclinic
* energy of formation: 0.011 eV/atom
* ρ: 5.25 g cm⁻³

Cell: 4.3158 4.3158 5.7547 Å, 68.24 68.24 59.82°
Fractional positions:
Ag 0.7823 0.7823 0.6537
Ag 0.0403 0.0403 0.8801
Ca 0.2409 0.2409 0.2749
Be 0.4365 0.4365 0.6913



| no. | calculated volume (Å³/atom) |
| --- | --- |
| 1 | 20.97 |
| 2 | 17.87 |
| 3 | 18.65 |
| 4 | 20.94 |